Density functional theory data (PBE) for an optimized crystal structure of Na2Tl3In4.

Density ... 7.47 Mg/m³
SG ... C2/m (12)
Calculated formation energy ... -71 meV per atom
D(E_F) ... 2.9 states/eV/cell
Total moment ... 0.000 μB per formula unit
Energy above the most stable polymorph in this dataset ... 0.000 eV per atom

Lattice parameters (Å, degrees): 4.745 6.164 9.612 76.58 75.71 67.36
Element x y z (fractional)
Na1 0.339 0.101 0.221
Na2 0.661 0.899 0.779
Tl1 0.332 0.776 0.560
Tl2 0.000 0.000 0.000
Tl3 0.668 0.224 0.440
In1 0.670 0.549 0.112
In2 0.995 0.343 0.668
In3 0.005 0.657 0.332
In4 0.330 0.451 0.888

=====

Density functional theory data (PBE) for an optimized crystal structure of Na3TlIn3.

Density ... 4.83 Mg/m³
SG ... R-3 (148)
Calculated formation energy ... -56 meV per atom
D(E_F) ... 5.6 states/eV/cell
Total moment ... 0.000 μB per formula unit

Lattice parameters (Å, degrees): 7.445 7.445 9.844 67.78 67.78 60.00
Element x y z (fractional)
Na1 0.160 0.728 0.827
Na2 0.728 0.285 0.827
Na3 0.285 0.160 0.827
Na4 0.715 0.840 0.173
Na5 0.272 0.715 0.173
Na6 0.840 0.272 0.173
Tl1 0.703 0.703 0.891
Tl2 0.297 0.297 0.109
In1 0.418 0.242 0.413
In2 0.927 0.418 0.413
In3 0.242 0.927 0.413
In4 0.758 0.073 0.587
In5 0.073 0.582 0.587
In6 0.582 0.758 0.587

=====

Density functional theory data (PBE) for an optimized crystal structure of Na4Tl5In.

Density ... 7.20 Mg/m³
SG ... P4/mmm (123)
Calculated formation energy ... -86 meV per atom
D(E_F) ... 4.3 states/eV/cell
Total moment ... 0.000 μB per formula unit

Lattice parameters (Å, degrees): 3.971 3.971 17.964 90.00 90.00 90.00
Element x y z (fractional)
Na1 0.000 0.000 0.198
Na2 0.000 0.000 0.399
Na3 0.000 0.000 0.601
Na4 0.000 0.000 0.802
Tl1 0.500 0.500 0.099
Tl2 0.500 0.500 0.299
Tl3 0.500 0.500 0.500
Tl4 0.500 0.500 0.701
Tl5 0.500 0.500 0.901
In1 0.000 0.000 0.000

=====

Density functional theory data (PBE) for an optimized crystal structure of Na3Tl2In7.

Density ... 6.45 Mg/m³
SG ... P2/m (10)
Calculated formation energy ... -57 meV per atom
D(E_F) ... 4.9 states/eV/cell
Total moment ... 0.000 μB per formula unit
Energy above the most stable polymorph in this dataset ... 0.000 eV per atom

Lattice parameters (Å, degrees): 3.302 6.022 16.662 95.06 90.00 90.00
Element x y z (fractional)
Na1 0.500 0.500 0.000
Na2 0.000 0.456 0.338
Na3 0.000 0.544 0.662
Tl1 0.500 0.953 0.325
Tl2 0.500 0.047 0.675
In1 0.500 0.749 0.500
In2 0.500 0.251 0.500
In3 0.000 0.732 0.161
In4 0.000 0.000 0.000
In5 0.000 0.268 0.839
In6 0.500 0.773 0.837
In7 0.500 0.227 0.163